First-principles (PBE) data for Tc2MoCl after structural relaxation, as listed in the Alexandria database.

The calculation puts the distance to the lowest polymorph of the same formula at 668 meV/atom. The value obtained for the total magnetization is 0.00 μB per cell. As for the formation energy (no corrections): 3.85 eV/f.u. The value obtained for the volume is 60.69 Å³/cell.

a = 5.1185 Å, b = 5.1185 Å, c = 5.1185 Å
α = 137.42°, β = 137.42°, γ = 61.80°
Last column: nearest neighbours and their distance in Å.
Positions (direct):
Tc 0.0000 0.0000 0.0000  4 Mo 2.63, 4 Cl 2.88, 4 Tc 2.88
Tc 0.7500 0.2500 0.5000  4 Cl 2.63, 4 Mo 2.88, 4 Tc 2.88
Mo 0.5000 0.5000 0.0000  8 Tc 2.63-2.88, 4 Cl 2.88
Cl 0.2500 0.7500 0.5000  8 Tc 2.63-2.88, 4 Mo 2.88